# ZnInIO2

ZnInIO2 after structural relaxation (PBE, Alexandria via LeMat-Bulk).

```
5
Lattice="4.109 0.000 0.000 0.000 4.109 0.000 0.000 0.000 6.662" Properties=species:S:1:pos:R:3 pbc="T T T"
Zn 0.000 0.000 0.000
In 2.055 2.055 3.331
I 2.055 2.055 0.000
O 0.000 2.055 3.331
O 2.055 0.000 3.331
```

Results
- total magnetic moment (Bohr magnetons per cell) = 0.8
- distance to the lowest polymorph of the same formula (meV per atom) = 0.0
- E_form (uncorrected) (eV per atom) = -0.2931
- volume (Å³/cell) = 112

# ZrInIO2

ZrInIO2 after structural relaxation (PBE, Alexandria via LeMat-Bulk).

```
5
Lattice="4.284 0.000 0.000 0.000 4.284 0.000 0.000 0.000 6.038" Properties=species:S:1:pos:R:3 pbc="T T T"
Zr 0.000 0.000 0.000
In 2.142 2.142 3.019
I 0.000 0.000 3.019
O 0.000 2.142 0.000
O 2.142 0.000 0.000
```

Results
- total magnetic moment (Bohr magnetons per cell) = 0.0
- distance to the lowest polymorph of the same formula (meV per atom) = 0.0
- E_form (uncorrected) (eV per atom) = -1.4735
- volume (Å³/cell) = 111

# ZrInI2O

ZrInI2O after structural relaxation (PBE, Alexandria via LeMat-Bulk).

```
5
Lattice="6.037 0.000 0.000 0.000 6.037 0.000 0.000 0.000 3.916" Properties=species:S:1:pos:R:3 pbc="T T T"
Zr 0.000 0.000 0.000
In 3.019 3.019 1.958
I 0.000 3.019 1.958
I 3.019 0.000 1.958
O 3.019 3.019 0.000
```

Results
- total magnetic moment (Bohr magnetons per cell) = 2.4
- distance to the lowest polymorph of the same formula (meV per atom) = 1077.0
- E_form (uncorrected) (eV per atom) = -0.0538
- volume (Å³/cell) = 143

# ZrInI2O

ZrInI2O after structural relaxation (PBE, Alexandria via LeMat-Bulk).

```
5
Lattice="6.077 0.000 0.000 0.000 6.077 0.000 0.000 0.000 4.059" Properties=species:S:1:pos:R:3 pbc="T T T"
Zr 0.000 0.000 0.000
In 3.039 3.039 2.030
I 0.000 3.039 0.000
I 3.039 0.000 0.000
O 0.000 0.000 2.030
```

Results
- total magnetic moment (Bohr magnetons per cell) = 0.8
- distance to the lowest polymorph of the same formula (meV per atom) = 0.0
- E_form (uncorrected) (eV per atom) = -1.1308
- volume (Å³/cell) = 150

# ZrInIO2

ZrInIO2 after structural relaxation (PBE, Alexandria via LeMat-Bulk).

```
5
Lattice="4.316 0.000 0.000 0.000 4.316 0.000 0.000 0.000 5.636" Properties=species:S:1:pos:R:3 pbc="T T T"
Zr 0.000 0.000 0.000
In 2.158 2.158 2.818
I 2.158 2.158 0.000
O 0.000 2.158 2.818
O 2.158 0.000 2.818
```

Results
- total magnetic moment (Bohr magnetons per cell) = 1.5
- distance to the lowest polymorph of the same formula (meV per atom) = 1310.5
- E_form (uncorrected) (eV per atom) = -0.1630
- volume (Å³/cell) = 105

# In3OsI

In3OsI after structural relaxation (PBE, Alexandria via LeMat-Bulk).

```
5
Lattice="5.283 0.000 0.000 0.000 5.283 0.000 0.000 0.000 5.283" Properties=species:S:1:pos:R:3 pbc="T T T"
In 0.000 0.000 2.642
In 0.000 2.642 0.000
In 2.642 0.000 0.000
Os 0.000 0.000 0.000
I 2.642 2.642 2.642
```

Results
- total magnetic moment (Bohr magnetons per cell) = 0.0
- distance to the lowest polymorph of the same formula (meV per atom) = 0.0
- E_form (uncorrected) (eV per atom) = 0.1064
- volume (Å³/cell) = 147

# InOs3I

InOs3I after structural relaxation (PBE, Alexandria via LeMat-Bulk).

```
5
Lattice="4.822 0.000 0.000 0.000 4.822 0.000 0.000 0.000 4.822" Properties=species:S:1:pos:R:3 pbc="T T T"
In 0.000 0.000 0.000
Os 0.000 2.411 2.411
Os 2.411 0.000 2.411
Os 2.411 2.411 0.000
I 2.411 2.411 2.411
```

Results
- total magnetic moment (Bohr magnetons per cell) = 0.0
- distance to the lowest polymorph of the same formula (meV per atom) = 0.0
- E_form (uncorrected) (eV per atom) = 2.5826
- volume (Å³/cell) = 112

# In2OsI

In2OsI after structural relaxation (PBE, Alexandria via LeMat-Bulk).

```
8
Lattice="-3.295 3.295 6.800 3.295 -3.295 6.800 3.295 3.295 -6.800" Properties=species:S:1:pos:R:3 pbc="T T T"
In 4.942 1.048 -1.700
In 1.048 1.647 1.700
In -1.647 2.247 5.100
In 2.247 1.647 8.500
Os 0.000 0.000 0.000
Os 0.000 3.295 3.400
I 3.295 0.000 3.400
I 0.000 0.000 6.800
```

Results
- total magnetic moment (Bohr magnetons per cell) = 0.0
- distance to the lowest polymorph of the same formula (meV per atom) = 0.0
- E_form (uncorrected) (eV per atom) = 0.7693
- volume (Å³/cell) = 295

# In2OsI

In2OsI after structural relaxation (PBE, Alexandria via LeMat-Bulk).

```
4
Lattice="0.000 3.609 3.609 3.609 0.000 3.609 3.609 3.609 0.000" Properties=species:S:1:pos:R:3 pbc="T T T"
In 1.805 1.805 1.805
In 5.414 5.414 5.414
Os 0.000 0.000 0.000
I 3.609 3.609 3.609
```

Results
- total magnetic moment (Bohr magnetons per cell) = 0.9
- distance to the lowest polymorph of the same formula (meV per atom) = 343.4
- E_form (uncorrected) (eV per atom) = 1.1127
- volume (Å³/cell) = 94

# InOsPd2I

InOsPd2I after structural relaxation (PBE, Alexandria via LeMat-Bulk).

```
5
Lattice="4.905 0.000 0.000 0.000 4.905 0.000 0.000 0.000 5.339" Properties=species:S:1:pos:R:3 pbc="T T T"
In 0.000 0.000 0.000
Os 0.000 0.000 2.669
Pd 0.000 2.452 2.669
Pd 2.452 0.000 2.669
I 2.452 2.452 0.000
```

Results
- total magnetic moment (Bohr magnetons per cell) = 0.0
- E_form (uncorrected) (eV per atom) = 0.8884
- volume (Å³/cell) = 128

# InSb2OsI

InSb2OsI after structural relaxation (PBE, Alexandria via LeMat-Bulk).

```
5
Lattice="5.598 0.000 0.000 0.000 5.598 0.000 0.000 0.000 5.645" Properties=species:S:1:pos:R:3 pbc="T T T"
In 0.000 0.000 0.000
Sb 0.000 2.799 0.000
Sb 2.799 0.000 0.000
Os 2.799 2.799 2.822
I 0.000 0.000 2.822
```

Results
- total magnetic moment (Bohr magnetons per cell) = 2.8
- distance to the lowest polymorph of the same formula (meV per atom) = 1297.2
- E_form (uncorrected) (eV per atom) = 1.7825
- volume (Å³/cell) = 177

# InSb2OsI

InSb2OsI after structural relaxation (PBE, Alexandria via LeMat-Bulk).

```
5
Lattice="5.092 0.000 0.000 0.000 5.092 0.000 0.000 0.000 6.031" Properties=species:S:1:pos:R:3 pbc="T T T"
In 0.000 0.000 0.000
Sb 0.000 2.546 3.016
Sb 2.546 0.000 3.016
Os 2.546 2.546 3.016
I 2.546 2.546 0.000
```

Results
- total magnetic moment (Bohr magnetons per cell) = 0.0
- distance to the lowest polymorph of the same formula (meV per atom) = 0.0
- E_form (uncorrected) (eV per atom) = 0.4853
- volume (Å³/cell) = 156